[1]
This record from the Alexandria database describes a relaxed BaEr2Os crystal. The functional is PBE.

Space-group type ... P4/mmm (123)

The structure in CIF format:
```
data_BaEr2Os
_cell_length_a 3.4605
_cell_length_b 3.4605
_cell_length_c 10.0705
_cell_angle_alpha 90.00
_cell_angle_beta 90.00
_cell_angle_gamma 90.00
_space_group_name_H-M_alt 'P 1'
_space_group_IT_number 1
loop_
_space_group_symop_operation_xyz
'x,y,z'
loop_
_atom_site_label
_atom_site_type_symbol
_atom_site_fract_x
_atom_site_fract_y
_atom_site_fract_z
_atom_site_occupancy
Os1 Os 0.5000 0.5000 0.0000 1
Ba1 Ba 0.5000 0.5000 0.5000 1
Er1 Er 0.0000 0.0000 0.8409 1
Er2 Er 0.0000 0.0000 0.1591 1
```

[2]
This record from the Alexandria database describes a relaxed La2YMn crystal. The functional is PBE.

Space-group type ... P4mm (99)

The structure in CIF format:
```
data_La2YMn
_cell_length_a 3.6377
_cell_length_b 3.6381
_cell_length_c 9.0489
_cell_angle_alpha 90.00
_cell_angle_beta 90.00
_cell_angle_gamma 90.00
_space_group_name_H-M_alt 'P 1'
_space_group_IT_number 1
loop_
_space_group_symop_operation_xyz
'x,y,z'
loop_
_atom_site_label
_atom_site_type_symbol
_atom_site_fract_x
_atom_site_fract_y
_atom_site_fract_z
_atom_site_occupancy
La1 La 0.0000 0.0000 0.9979 1
La2 La 0.5000 0.5000 0.2993 1
Mn1 Mn 0.0000 0.0000 0.5078 1
Y1 Y 0.5000 0.5000 0.6950 1
```

[3]
This record from the Alexandria database describes a relaxed NaGaPd2 crystal. The functional is PBE.

Space-group type ... P4/mmm (123)

The structure in CIF format:
```
data_NaGaPd2
_cell_length_a 2.9878
_cell_length_b 4.5942
_cell_length_c 4.5942
_cell_angle_alpha 90.00
_cell_angle_beta 90.00
_cell_angle_gamma 90.00
_space_group_name_H-M_alt 'P 1'
_space_group_IT_number 1
loop_
_space_group_symop_operation_xyz
'x,y,z'
loop_
_atom_site_label
_atom_site_type_symbol
_atom_site_fract_x
_atom_site_fract_y
_atom_site_fract_z
_atom_site_occupancy
Na1 Na 0.5000 0.0000 0.0000 1
Ga1 Ga 0.5000 0.5000 0.5000 1
Pd1 Pd 0.0000 0.0000 0.5000 1
Pd2 Pd 0.0000 0.5000 0.0000 1
```

Calculated E_form in order - -0.090 0.155 -0.357 eV/atom
Calculated DOS(E_F) in order - 2.33 6.82 1.44 states/eV/cell
Calculated E_tot in order - -22.6 -24.9 -16.2 eV/f.u.